1.
# SrAcNd

A relaxed structure of SrAcNd (GGA-PBE, the Alexandria database).

The structure belongs to space group P6/mmm (No. 191); the cell edges are 6.1898, 6.1898 and 7.7494 Å and the angles 90.00°, 90.00° and 120.00°. The inequivalent atoms are Sr at (0.3333, 0.6667, 0.0000), Ac at (0.0000, 0.0000, 0.2691) and Nd at (0.3333, 0.6667, 0.5000).

The value obtained for the formation enthalpy at 0 K is 0.11 eV per atom. The value obtained for the energy above the lowest structure with this stoichiometry is 4.9 kJ per mole of atoms. For the total moment, the calculation gives 0.00 μB/cell.

2.
# Sr2Ac6Nd3

A relaxed structure of Sr2Ac6Nd3 (GGA-PBE, the Alexandria database).

The structure belongs to space group R-3m (No. 166, hexagonal axes); the cell edges are 3.9474, 3.9474 and 106.0328 Å and the angles 90.00°, 90.00° and 120.00°. The inequivalent atoms are Sr at (0.0000, 0.0000, 0.0477), Ac at (0.0000, 0.0000, 0.1379), Ac at (0.0000, 0.0000, 0.3185), Ac at (0.0000, 0.0000, 0.4138), Nd at (0.0000, 0.0000, 0.2245) and Nd at (0.0000, 0.0000, 0.5000).

The value obtained for the formation enthalpy at 0 K is 0.04 eV per atom. For the total moment, the calculation gives 0.00 μB/cell.

3.
# SrAc15Nd4

A relaxed structure of SrAc15Nd4 (GGA-PBE, the Alexandria database).

The structure belongs to space group P4/mmm (No. 123); the cell edges are 5.587, 5.587 and 27.758 Å and the angles 90.00°, 90.00° and 90.00°. The inequivalent atoms are Sr at (0.000, 0.000, 0.000), Ac at (0.000, 0.500, 0.105), Ac at (0.000, 0.500, 0.302), Ac at (0.000, 0.500, 0.500), Ac at (0.500, 0.500, 0.000), Ac at (0.500, 0.500, 0.203), Ac at (0.500, 0.500, 0.401), Nd at (0.000, 0.000, 0.203) and Nd at (0.000, 0.000, 0.401).

The value obtained for the formation enthalpy at 0 K is 0.03 eV per atom. For the total moment, the calculation gives 0.00 μB/cell.

4.
# SrAc7Nd4

A relaxed structure of SrAc7Nd4 (GGA-PBE, the Alexandria database).

The structure belongs to space group P-1 (No. 2); the cell edges are 6.767, 7.827 and 10.338 Å and the angles 78.74°, 70.96° and 89.97°. The inequivalent atoms are Sr at (0.000, 0.000, 0.000), Ac at (0.000, 0.500, 0.000), Ac at (0.171, 0.916, 0.342), Ac at (0.335, 0.338, 0.661), Ac at (0.498, 0.742, 0.997), Nd at (0.164, 0.415, 0.335) and Nd at (0.343, 0.829, 0.660).

The value obtained for the formation enthalpy at 0 K is 0.05 eV per atom. For the total moment, the calculation gives 0.00 μB/cell.

5.
# SrAc6Nd5

A relaxed structure of SrAc6Nd5 (GGA-PBE, the Alexandria database).

The structure belongs to space group C2/m (No. 12); the cell edges are 12.661, 11.710 and 6.745 Å and the angles 90.00°, 100.33° and 90.00°. The inequivalent atoms are Sr at (0.000, 0.000, 0.000), Ac at (0.245, 0.329, 0.749), Ac at (0.248, 0.500, 0.259), Nd at (0.000, 0.173, 0.500), Nd at (0.000, 0.339, 0.000) and Nd at (0.000, 0.500, 0.500).

The value obtained for the formation enthalpy at 0 K is 0.04 eV per atom. For the total moment, the calculation gives 0.00 μB/cell.

6.
# Sr2AcNd

A relaxed structure of Sr2AcNd (GGA-PBE, the Alexandria database).

The structure belongs to space group R3m (No. 160, hexagonal axes); the cell edges are 3.9708, 3.9708 and 39.6486 Å and the angles 90.00°, 90.00° and 120.00°. The inequivalent atoms are Sr at (0.0000, 0.0000, 0.0000), Sr at (0.0000, 0.0000, 0.1608), Ac at (0.0000, 0.0000, 0.5801) and Nd at (0.0000, 0.0000, 0.4140).

The value obtained for the formation enthalpy at 0 K is 0.13 eV per atom. The value obtained for the energy above the lowest structure with this stoichiometry is 0.0 kJ per mole of atoms. For the total moment, the calculation gives 1.20 μB/cell.

7.
# SrAc5Nd2

A relaxed structure of SrAc5Nd2 (GGA-PBE, the Alexandria database).

The structure belongs to space group Immm (No. 71); the cell edges are 3.931, 12.070 and 14.682 Å and the angles 90.00°, 90.00° and 90.00°. The inequivalent atoms are Sr at (0.000, 0.000, 0.000), Ac at (0.000, 0.230, 0.366), Ac at (0.000, 0.500, 0.000) and Nd at (0.000, 0.500, 0.252).

The value obtained for the formation enthalpy at 0 K is 0.04 eV per atom. For the total moment, the calculation gives 0.00 μB/cell.

8.
# SrAc6Nd12

A relaxed structure of SrAc6Nd12 (GGA-PBE, the Alexandria database).

The structure belongs to space group R-3m (No. 166, hexagonal axes); the cell edges are 14.1483, 14.1483 and 13.4915 Å and the angles 90.00°, 90.00° and 120.00°. The inequivalent atoms are Sr at (0.0000, 0.0000, 0.0000), Ac at (0.0335, 0.5167, 0.6239), Nd at (0.0000, 0.2560, 0.5000) and Nd at (0.0945, 0.1890, 0.2662).

The value obtained for the formation enthalpy at 0 K is 0.23 eV per atom. For the total moment, the calculation gives 0.00 μB/cell.

9.
# SrAc3Nd

A relaxed structure of SrAc3Nd (GGA-PBE, the Alexandria database).

The structure belongs to space group P2_1/m (No. 11); the cell edges are 8.807, 5.664 and 8.848 Å and the angles 90.00°, 90.42° and 90.00°. The inequivalent atoms are Sr at (0.246, 0.250, 0.257), Ac at (0.149, 0.750, 0.946), Ac at (0.338, 0.750, 0.556), Ac at (0.440, 0.250, 0.847) and Nd at (0.053, 0.250, 0.650).

The value obtained for the formation enthalpy at 0 K is 0.08 eV per atom. For the total moment, the calculation gives 0.00 μB/cell.

10.
# SrAc4Nd

A relaxed structure of SrAc4Nd (GGA-PBE, the Alexandria database).

The structure belongs to space group F-43m (No. 216); the cell edges are 10.427, 10.427 and 10.427 Å and the angles 90.00°, 90.00° and 90.00°. The inequivalent atoms are Sr at (0.000, 0.000, 0.000), Ac at (0.124, 0.124, 0.624) and Nd at (0.250, 0.250, 0.250).

The value obtained for the formation enthalpy at 0 K is 0.25 eV per atom. The value obtained for the energy above the lowest structure with this stoichiometry is 20.7 kJ per mole of atoms. For the total moment, the calculation gives 0.00 μB/cell.

11.
# Sr2AcNd

A relaxed structure of Sr2AcNd (GGA-PBE, the Alexandria database).

The structure belongs to space group P4/mmm (No. 123); the cell edges are 5.469, 5.469 and 6.020 Å and the angles 90.00°, 90.00° and 90.00°. The inequivalent atoms are Sr at (0.000, 0.500, 0.000), Ac at (0.000, 0.000, 0.500) and Nd at (0.500, 0.500, 0.500).

The value obtained for the formation enthalpy at 0 K is 0.16 eV per atom. The value obtained for the energy above the lowest structure with this stoichiometry is 2.7 kJ per mole of atoms. For the total moment, the calculation gives 0.00 μB/cell.

12.
# Sr3Ac3NdTe8

A relaxed structure of Sr3Ac3NdTe8 (GGA-PBE, the Alexandria database).

The structure belongs to space group R-3m (No. 166, hexagonal axes); the cell edges are 9.3964, 9.3964 and 23.2606 Å and the angles 90.00°, 90.00° and 120.00°. The inequivalent atoms are Sr at (0.0000, 0.5000, 0.0000), Ac at (0.0000, 0.5000, 0.5000), Nd at (0.0000, 0.0000, 0.5000), Te at (0.0000, 0.0000, 0.2512) and Te at (0.0092, 0.5046, 0.2477).

The value obtained for the formation energy from raw total energies is -1.5936 eV/atom. For the total moment, the calculation gives 0.00 μB/cell.

Fermi-level density of states: 8.7; 42.9; 34.8; 21.2; 34.2; 19.3; 24.4; 97.0; 17.7; 35.3; 6.1; 16.6 (states/eV per cell)